Computed, not measured: a relaxed LiInPb4 crystal at the PBE-GGA level of DFT.

## Properties
Calculated formation energy   -0.014 eV/atom
E   -3.26 eV/atom
V   369.6 Å³ per cell
Magnetic moment   0.00 μB/f.u.
Relative energy among the computed polymorphs   0 meV/atom

Cell: 8.919 5.201 8.415 Å, 90.00 108.77 90.00°
Space group C2/m (No. 12)
One atom of each set of equivalent atoms:
Li (0.000, 0.000, 0.000) (multiplicity 2)
In (0.000, 0.500, 0.500) (multiplicity 2)
Pb (0.139, 0.500, 0.910) (multiplicity 4)
Pb (0.213, 0.000, 0.647) (multiplicity 4)